## Ag4Au5 (PBE)

Data for Ag4Au5 after structural relaxation.

a b c (Å): 8.2519 8.2519 5.5932
angles (deg): 90.00 90.00 120.00
With the nearest neighbours (Å) after each atom.
Space group P6_3/mcm (No. 193)
Unique sites:
Ag 0.0000 0.0000 0.0000 (multiplicity 2)  2 Ag 2.80, 6 Au 3.02
Ag 0.0000 0.3404 0.2500 (multiplicity 6)  9 Au 2.75-3.06
Au 0.0000 0.3247 0.7500 (multiplicity 6)  7 Ag 2.75-3.02
Au 0.3333 0.6667 0.0000 (multiplicity 4)  8 Au 2.80-3.12, 6 Ag 3.06

Summary:
Total magnetic moment ... 0.000 μB per atom
Calculated total energy ... -3.053 eV per atom
Formation energy from the elements ... 0.035 eV per atom

---

## Ag6Au (PBE)

Data for Ag6Au after structural relaxation.

a b c (Å): 4.1453 4.1453 7.9402
angles (deg): 90.00 90.00 90.00
With the nearest neighbours (Å) after each atom.
Space group P4/mmm (No. 123)
Unique sites:
Ag 0.0000 0.0000 0.0000 (multiplicity 1)  8 Ag 2.82
Ag 0.0000 0.5000 0.2400 (multiplicity 4)  8 Ag 2.82-2.93, 2 Au 2.93
Ag 0.5000 0.5000 0.5000 (multiplicity 1)  8 Ag 2.93, 4 Au 2.93
Au 0.0000 0.0000 0.5000 (multiplicity 1)  12 Ag 2.93

Summary:
Total magnetic moment ... 0.000 μB per atom
Calculated total energy ... -2.808 eV per atom
Formation energy from the elements ... 0.104 eV per atom

---

| no. | calculated density (g cm⁻³) |
| --- | --- |
| 1 | 14.26 |
| 2 | 10.27 |